(1)
A plane-wave DFT calculation with GGA-PBE was carried out for an optimized crystal structure of TaNb2Bi.

Output
- DFT total energy (eV/atom) = -8.63
- crystal system = cubic

```
TaNb2Bi
1.0
0.000 3.402 3.402
3.402 0.000 3.402
3.402 3.402 0.000
Nb Bi Ta
2 1 1
direct
0.000 0.000 0.000
0.750 0.750 0.750
0.500 0.500 0.500
0.250 0.250 0.250
```

=====

(2)
A plane-wave DFT calculation with GGA-PBE was carried out for an optimized crystal structure of TaNbBi.

Output
- DFT total energy (eV/atom) = -7.78
- crystal system = cubic

```
TaNbBi
1.0
1.998 -4.238 -0.310
-0.410 -3.054 3.543
-2.676 -3.827 -0.497
Bi Nb Ta
1 1 1
direct
0.250 0.250 0.250
0.750 0.750 0.750
0.000 0.000 0.000
```